# 1
# GGA-PBE Tm2SeN, relaxed
data_Tm2SeN
_cell_length_a 3.5875
_cell_length_b 3.5875
_cell_length_c 19.5366
_cell_angle_alpha 90.00
_cell_angle_beta 90.00
_cell_angle_gamma 120.00
_space_group_name_H-M_alt 'R 3 m'
_space_group_IT_number 160
_space_group_name_Hall 'R 3 -2"'
loop_
_atom_site_label
_atom_site_fract_x
_atom_site_fract_y
_atom_site_fract_z
Tm1 0.0000 0.0000 0.0000
Tm2 0.0000 0.0000 0.2024
Se1 0.0000 0.0000 0.4349
N1 0.0000 0.0000 0.6058
# Energy = -82.50 eV/cell
# Volume = 73 Å³/f.u.

***

# 2
# GGA-PBE La4CuO8, relaxed
data_La4CuO8
_cell_length_a 5.296
_cell_length_b 13.029
_cell_length_c 5.297
_cell_angle_alpha 90.00
_cell_angle_beta 90.00
_cell_angle_gamma 90.00
_space_group_name_H-M_alt 'C m m m'
_space_group_IT_number 65
_space_group_name_Hall '-C 2 2'
loop_
_atom_site_label
_atom_site_fract_x
_atom_site_fract_y
_atom_site_fract_z
La1 0.000 0.134 0.000
La2 0.000 0.364 0.500
Cu1 0.000 0.500 0.000
O1 0.000 0.187 0.500
O2 0.000 0.321 0.000
O3 0.247 0.500 0.243
# Energy = -196.63 eV/cell
# Volume = 183 Å³/f.u.

***

# 3
# GGA-PBE In3CuS6, relaxed
data_In3CuS6
_cell_length_a 10.7541
_cell_length_b 10.7541
_cell_length_c 13.1953
_cell_angle_alpha 90.00
_cell_angle_beta 90.00
_cell_angle_gamma 120.00
_space_group_name_H-M_alt 'R -3'
_space_group_IT_number 148
_space_group_name_Hall '-R 3'
loop_
_atom_site_label
_atom_site_fract_x
_atom_site_fract_y
_atom_site_fract_z
In1 0.0494 0.2654 0.2082
Cu1 0.0000 0.0000 0.0000
Cu2 0.0000 0.0000 0.5000
S1 0.0229 0.2001 0.4014
S2 0.0257 0.1876 0.8862
# Energy = -239.27 eV/cell
# Volume = 220 Å³/f.u.